#one
! MgTiPCl2 (GGA-PBE, optimized geometry); values from VASP
&SYSTEM
  ibrav = 0, nat = 5, ntyp = 4
/
ATOMIC_SPECIES
P 30.97 P.upf
Mg 24.30 Mg.upf
Cl 35.45 Cl.upf
Ti 47.87 Ti.upf
ATOMIC_POSITIONS crystal
P 0.000 0.000 0.500
Mg 0.500 0.500 0.500
Cl 0.000 0.500 0.000
Cl 0.500 0.000 0.000
Ti 0.000 0.000 0.000
CELL_PARAMETERS angstrom
4.670 0.000 0.000
0.000 4.670 0.000
0.000 0.000 5.072
! - Magnetization: 0.0 Bohr magnetons per cell
! - SG: P4/mmm (123)
! - Density of states at the Fermi level: 2.1 states/eV/f.u.


#two
! MgTiPCl2 (GGA-PBE, optimized geometry); values from VASP
&SYSTEM
  ibrav = 0, nat = 5, ntyp = 4
/
ATOMIC_SPECIES
P 30.97 P.upf
Mg 24.30 Mg.upf
Cl 35.45 Cl.upf
Ti 47.87 Ti.upf
ATOMIC_POSITIONS crystal
P 0.000 0.000 0.500
Mg 0.000 0.000 0.000
Cl 0.000 0.500 0.000
Cl 0.500 0.000 0.000
Ti 0.500 0.500 0.500
CELL_PARAMETERS angstrom
-0.530 2.130 3.925
1.076 -3.775 2.194
5.531 1.528 -0.083
! - Magnetization: 1.0 Bohr magnetons per cell
! - SG: P4/mmm (123)
! - Density of states at the Fermi level: 1.7 states/eV/f.u.


Result of the stability comparison: #two is the least stable of them.


#one
! MgTlP2Cl (GGA-PBE, optimized geometry); values from VASP
&SYSTEM
  ibrav = 0, nat = 5, ntyp = 4
/
ATOMIC_SPECIES
P 30.97 P.upf
Tl 204.38 Tl.upf
Mg 24.30 Mg.upf
Cl 35.45 Cl.upf
ATOMIC_POSITIONS crystal
P 0.000 0.500 0.000
P 0.500 0.000 0.000
Tl 0.500 0.500 0.500
Mg 0.000 0.000 0.000
Cl 0.000 0.000 0.500
CELL_PARAMETERS angstrom
4.982 0.000 0.000
0.000 4.982 0.000
0.000 0.000 5.189
! - Magnetization: 1.7 Bohr magnetons per cell
! - SG: P4/mmm (123)
! - Density of states at the Fermi level: 2.4 states/eV/f.u.


#two
! MgTlP2Cl (GGA-PBE, optimized geometry); values from VASP
&SYSTEM
  ibrav = 0, nat = 5, ntyp = 4
/
ATOMIC_SPECIES
P 30.97 P.upf
Tl 204.38 Tl.upf
Mg 24.30 Mg.upf
Cl 35.45 Cl.upf
ATOMIC_POSITIONS crystal
P 0.000 0.500 0.000
P 0.500 0.000 0.000
Tl 0.000 0.000 0.000
Mg 0.500 0.500 0.500
Cl 0.000 0.000 0.500
CELL_PARAMETERS angstrom
5.098 0.000 0.000
0.000 5.098 0.000
0.000 0.000 5.425
! - Magnetization: 0.4 Bohr magnetons per cell
! - SG: P4/mmm (123)
! - Density of states at the Fermi level: 4.6 states/eV/f.u.


Result of the stability comparison: #two is the least stable of them.


#one
! MgVP2Cl (GGA-PBE, optimized geometry); values from VASP
&SYSTEM
  ibrav = 0, nat = 5, ntyp = 4
/
ATOMIC_SPECIES
P 30.97 P.upf
Mg 24.30 Mg.upf
Cl 35.45 Cl.upf
V 50.94 V.upf
ATOMIC_POSITIONS crystal
P 0.000 0.500 0.000
P 0.500 0.000 0.000
Mg 0.500 0.500 0.500
Cl 0.000 0.000 0.500
V 0.000 0.000 0.000
CELL_PARAMETERS angstrom
-3.920 0.938 2.103
1.679 -1.677 3.878
1.699 4.440 1.185
! - Magnetization: 0.0 Bohr magnetons per cell
! - SG: P4/mmm (123)
! - Density of states at the Fermi level: 2.9 states/eV/f.u.


#two
! MgVP2Cl (GGA-PBE, optimized geometry); values from VASP
&SYSTEM
  ibrav = 0, nat = 5, ntyp = 4
/
ATOMIC_SPECIES
P 30.97 P.upf
Mg 24.30 Mg.upf
Cl 35.45 Cl.upf
V 50.94 V.upf
ATOMIC_POSITIONS crystal
P 0.000 0.500 0.000
P 0.500 0.000 0.000
Mg 0.000 0.000 0.000
Cl 0.000 0.000 0.500
V 0.500 0.500 0.500
CELL_PARAMETERS angstrom
-1.118 -0.561 4.610
-2.938 -3.587 -1.149
3.529 -3.046 0.485
! - Magnetization: 0.2 Bohr magnetons per cell
! - SG: P4/mmm (123)
! - Density of states at the Fermi level: 7.1 states/eV/f.u.


Result of the stability comparison: #two is the least stable of them.


#one
! MgVPCl2 (GGA-PBE, optimized geometry); values from VASP
&SYSTEM
  ibrav = 0, nat = 5, ntyp = 4
/
ATOMIC_SPECIES
P 30.97 P.upf
Mg 24.30 Mg.upf
Cl 35.45 Cl.upf
V 50.94 V.upf
ATOMIC_POSITIONS crystal
P 0.000 0.000 0.500
Mg 0.000 0.000 0.000
Cl 0.000 0.500 0.000
Cl 0.500 0.000 0.000
V 0.500 0.500 0.500
CELL_PARAMETERS angstrom
-3.021 -1.577 -2.972
3.011 -3.049 -1.443
-1.938 -3.799 3.986
! - Magnetization: 2.0 Bohr magnetons per cell
! - SG: P4/mmm (123)
! - Density of states at the Fermi level: 4.0 states/eV/f.u.


#two
! MgVPCl2 (GGA-PBE, optimized geometry); values from VASP
&SYSTEM
  ibrav = 0, nat = 5, ntyp = 4
/
ATOMIC_SPECIES
P 30.97 P.upf
Mg 24.30 Mg.upf
Cl 35.45 Cl.upf
V 50.94 V.upf
ATOMIC_POSITIONS crystal
P 0.000 0.000 0.500
Mg 0.500 0.500 0.500
Cl 0.000 0.500 0.000
Cl 0.500 0.000 0.000
V 0.000 0.000 0.000
CELL_PARAMETERS angstrom
-1.323 -4.243 1.533
3.638 -0.058 2.977
-2.790 2.116 3.450
! - Magnetization: 1.9 Bohr magnetons per cell
! - SG: P4/mmm (123)
! - Density of states at the Fermi level: 3.9 states/eV/f.u.


Result of the stability comparison: #one is the least stable of them.


#one
! MgZnP2Cl (GGA-PBE, optimized geometry); values from VASP
&SYSTEM
  ibrav = 0, nat = 5, ntyp = 4
/
ATOMIC_SPECIES
P 30.97 P.upf
Zn 65.41 Zn.upf
Mg 24.30 Mg.upf
Cl 35.45 Cl.upf
ATOMIC_POSITIONS crystal
P 0.000 0.500 0.000
P 0.500 0.000 0.000
Zn 0.500 0.500 0.500
Mg 0.000 0.000 0.000
Cl 0.000 0.000 0.500
CELL_PARAMETERS angstrom
-1.511 2.499 4.007
3.154 -2.597 2.809
3.391 3.285 -0.770
! - Magnetization: 1.1 Bohr magnetons per cell
! - SG: P4/mmm (123)
! - Density of states at the Fermi level: 2.8 states/eV/f.u.


#two
! MgZnP2Cl (GGA-PBE, optimized geometry); values from VASP
&SYSTEM
  ibrav = 0, nat = 5, ntyp = 4
/
ATOMIC_SPECIES
P 30.97 P.upf
Zn 65.41 Zn.upf
Mg 24.30 Mg.upf
Cl 35.45 Cl.upf
ATOMIC_POSITIONS crystal
P 0.000 0.500 0.000
P 0.500 0.000 0.000
Zn 0.000 0.000 0.000
Mg 0.500 0.500 0.500
Cl 0.000 0.000 0.500
CELL_PARAMETERS angstrom
4.580 0.000 0.000
0.000 4.580 0.000
0.000 0.000 5.252
! - Magnetization: 0.7 Bohr magnetons per cell
! - SG: P4/mmm (123)
! - Density of states at the Fermi level: 2.7 states/eV/f.u.


Result of the stability comparison: #one is the least stable of them.


#one
! MgZrPCl2 (GGA-PBE, optimized geometry); values from VASP
&SYSTEM
  ibrav = 0, nat = 5, ntyp = 4
/
ATOMIC_SPECIES
P 30.97 P.upf
Mg 24.30 Mg.upf
Zr 91.22 Zr.upf
Cl 35.45 Cl.upf
ATOMIC_POSITIONS crystal
P 0.000 0.000 0.500
Mg 0.000 0.000 0.000
Zr 0.500 0.500 0.500
Cl 0.000 0.500 0.000
Cl 0.500 0.000 0.000
CELL_PARAMETERS angstrom
-4.020 -1.900 0.133
1.719 -3.487 2.162
-1.068 2.614 5.064
! - Magnetization: 0.9 Bohr magnetons per cell
! - SG: P4/mmm (123)
! - Density of states at the Fermi level: 3.5 states/eV/f.u.


#two
! MgZrPCl2 (GGA-PBE, optimized geometry); values from VASP
&SYSTEM
  ibrav = 0, nat = 5, ntyp = 4
/
ATOMIC_SPECIES
P 30.97 P.upf
Mg 24.30 Mg.upf
Zr 91.22 Zr.upf
Cl 35.45 Cl.upf
ATOMIC_POSITIONS crystal
P 0.000 0.000 0.500
Mg 0.500 0.500 0.500
Zr 0.000 0.000 0.000
Cl 0.000 0.500 0.000
Cl 0.500 0.000 0.000
CELL_PARAMETERS angstrom
4.959 0.000 0.000
0.000 4.959 0.000
0.000 0.000 5.248
! - Magnetization: 0.0 Bohr magnetons per cell
! - SG: P4/mmm (123)
! - Density of states at the Fermi level: 2.2 states/eV/f.u.


Result of the stability comparison: #one is the least stable of them.